[1]
VASP calculation (GGA-PBE) on PrHPd2 after structural relaxation.

a = 3.1758 Å, b = 3.1758 Å, c = 7.8533 Å
α = 78.33°, β = 78.33°, γ = 60.00°
Positions (direct):
Pr1 0.0000 0.0000 0.0000
H1 0.5000 0.5000 0.5000
Pd1 0.1196 0.1196 0.6412
Pd2 0.8804 0.8804 0.3588

Values from the calculation:
Symmetry: R-3m (166)
Crystal system: trigonal
Total energy, eV/atom: -4.5224

***

[2]
VASP calculation (GGA-PBE) on Dy3HoS6 after structural relaxation.

a = 8.0228 Å, b = 8.0228 Å, c = 8.0228 Å
α = 91.12°, β = 91.12°, γ = 91.12°
Positions (direct):
Dy1 0.4326 0.9234 0.7526
Dy2 0.9234 0.7526 0.4326
Dy3 0.2474 0.5674 0.0766
Dy4 0.7526 0.4326 0.9234
Dy5 0.0766 0.2474 0.5674
Dy6 0.5674 0.0766 0.2474
Ho1 0.0000 0.0000 0.0000
Ho2 0.5000 0.5000 0.5000
S1 0.3152 0.9091 0.0813
S2 0.0909 0.9187 0.6848
S3 0.5944 0.8186 0.4638
S4 0.9187 0.6848 0.0909
S5 0.4638 0.5944 0.8186
S6 0.1814 0.5362 0.4056
S7 0.8186 0.4638 0.5944
S8 0.5362 0.4056 0.1814
S9 0.0813 0.3152 0.9091
S10 0.4056 0.1814 0.5362
S11 0.9091 0.0813 0.3152
S12 0.6848 0.0909 0.9187

Values from the calculation:
Symmetry: R-3 (148)
Crystal system: trigonal
Total energy, eV/atom: -6.3800
ΔE_f (raw), eV/atom: -2.07

***

Number 1: density 8.83 g/cm³. Number 2: density 5.44 g/cm³.